(1)
ZrFeTcPb | PBE | optimized geometry

Results
total magnetic moment: 0.23 μB/atom
polymorph energy (0 for the lowest one): 0.00 eV per formula unit
ρ: 10.89 g cm⁻³

Lattice parameters (Å, degrees): 6.5099 6.5099 6.5099 90.00 90.00 90.00
Last column: nearest neighbours and their distance in Å.
Space group F-43m (No. 216)
Asymmetric unit:
Zr: 0.0000 0.0000 0.0000 [4 per cell]  4 Fe 2.82, 4 Tc 2.82
Fe: 0.2500 0.2500 0.7500 [4 per cell]  4 Zr 2.82, 4 Pb 2.82
Tc: 0.2500 0.2500 0.2500 [4 per cell]  4 Zr 2.82, 4 Pb 2.82
Pb: 0.0000 0.0000 0.5000 [4 per cell]  4 Fe 2.82, 4 Tc 2.82

***

(2)
ZrFeTcPb | PBE | optimized geometry

Results
total magnetic moment: 1.09 μB/atom
polymorph energy (0 for the lowest one): 0.97 eV per formula unit
ρ: 10.20 g cm⁻³

Lattice parameters (Å, degrees): 6.6539 6.6539 6.6539 90.00 90.00 90.00
Last column: nearest neighbours and their distance in Å.
Space group F-43m (No. 216)
Asymmetric unit:
Zr: 0.0000 0.0000 0.0000 [4 per cell]  4 Pb 2.88, 4 Tc 2.88
Fe: 0.0000 0.0000 0.5000 [4 per cell]  4 Pb 2.88, 4 Tc 2.88
Tc: 0.2500 0.2500 0.7500 [4 per cell]  4 Zr 2.88, 4 Fe 2.88
Pb: 0.2500 0.2500 0.2500 [4 per cell]  4 Zr 2.88, 4 Fe 2.88

***

(3)
FeTePb3 | PBE | optimized geometry

Results
total magnetic moment: 0.53 μB/atom
electronic total energy: -0.1524 hartree per atom
ρ: 9.39 g cm⁻³

Lattice parameters (Å, degrees): 4.9358 18.0078 6.4069 90.00 90.00 90.00
Last column: nearest neighbours and their distance in Å.
Space group Cmcm (No. 63)
Asymmetric unit:
Fe: 0.0000 0.1684 0.2500 [4 per cell]  6 Pb 2.96-3.03
Te: 0.0000 0.0921 0.7500 [4 per cell]  6 Pb 3.20-3.42, 2 Fe 3.49
Pb: 0.0000 0.3113 0.9996 [8 per cell]  3 Fe 2.96-3.03, 4 Pb 3.20-3.31
Pb: 0.0000 0.4791 0.7500 [4 per cell]  2 Te 3.20, 4 Pb 3.29-3.42

***

(4)
Fe2Te3Pb | PBE | optimized geometry

Results
total magnetic moment: 0.63 μB/atom
electronic total energy: -0.1814 hartree per atom
ρ: 8.23 g cm⁻³

Lattice parameters (Å, degrees): 3.7757 14.1849 10.5798 90.00 90.00 90.00
Last column: nearest neighbours and their distance in Å.
Space group Cmcm (No. 63)
Asymmetric unit:
Fe: 0.0000 0.0000 0.0000 [4 per cell]  6 Te 2.61-2.72
Fe: 0.0000 0.4178 0.2500 [4 per cell]  4 Te 2.56-2.60
Te: 0.0000 0.0434 0.2500 [4 per cell]  4 Fe 2.60-2.72
Te: 0.0000 0.3731 0.0153 [8 per cell]  3 Fe 2.56-2.61
Pb: 0.0000 0.2368 0.7500 [4 per cell]  2 Fe 2.89

***

(5)
TlFeTe3Pb | PBE | optimized geometry

Results
total magnetic moment: 0.55 μB/atom
electronic total energy: -0.1505 hartree per atom
ρ: 6.75 g cm⁻³

Lattice parameters (Å, degrees): 9.4090 4.2368 10.9089 90.00 105.72 90.00
Last column: nearest neighbours and their distance in Å.
Space group P2_1/m (No. 11)
Asymmetric unit:
Tl: 0.2434 0.2500 0.2827 [2 per cell]  6 Te 3.30-3.59
Fe: 0.0615 0.2500 0.5720 [2 per cell]  4 Te 2.55-2.66, 2 Fe 2.70
Te: 0.0485 0.2500 0.8023 [2 per cell]  1 Fe 2.55
Te: 0.2194 0.7500 0.5421 [2 per cell]  3 Fe 2.60-2.66
Te: 0.4375 0.7500 0.1613 [2 per cell]  3 Pb 3.12-3.16, 2 Tl 3.30
Pb: 0.3237 0.7500 0.8643 [2 per cell]  6 Te 3.12-3.38

***

(6)
ZnFeTe3Pb | PBE | optimized geometry

Results
total magnetic moment: 0.62 μB/atom
polymorph energy (0 for the lowest one): 0.00 eV per formula unit
ρ: 7.33 g cm⁻³

Lattice parameters (Å, degrees): 4.1453 14.6147 10.6315 90.00 90.00 90.00
Last column: nearest neighbours and their distance in Å.
Space group Cmcm (No. 63)
Asymmetric unit:
Zn: 0.0000 0.0313 0.2500 [4 per cell]  4 Te 2.63-2.65
Fe: 0.0000 0.5000 0.0000 [4 per cell]  6 Te 2.89-2.91
Te: 0.0000 0.1335 0.0463 [8 per cell]  1 Zn 2.63, 2 Fe 2.89
Te: 0.0000 0.4185 0.2500 [4 per cell]  2 Zn 2.65, 2 Fe 2.91
Pb: 0.0000 0.2658 0.7500 [4 per cell]  8 Te 3.34-3.70, 2 Zn 3.62

***

(7)
ZnFeTe3Pb | PBE | optimized geometry

Results
total magnetic moment: 0.49 μB/atom
polymorph energy (0 for the lowest one): 0.05 eV per formula unit
ρ: 7.29 g cm⁻³

Lattice parameters (Å, degrees): 3.9780 13.8817 11.7304 90.00 90.00 90.00
Last column: nearest neighbours and their distance in Å.
Space group Cmcm (No. 63)
Asymmetric unit:
Zn: 0.0000 0.0000 0.0000 [4 per cell]  6 Te 2.80-3.01
Fe: 0.0000 0.4253 0.2500 [4 per cell]  4 Te 2.58-2.61
Te: 0.0000 0.0474 0.2500 [4 per cell]  2 Fe 2.61
Te: 0.0000 0.3629 0.0428 [8 per cell]  1 Fe 2.58, 2 Zn 2.80
Pb: 0.0000 0.2310 0.7500 [4 per cell]  2 Fe 2.94

***

(8)
Fe2Pb2W3 | PBE | optimized geometry

Results
total magnetic moment: 0.32 μB/atom
electronic total energy: -0.3058 hartree per atom
ρ: 15.06 g cm⁻³

Lattice parameters (Å, degrees): 4.3944 4.3944 21.3075 90.00 90.00 120.00
Last column: nearest neighbours and their distance in Å.
Space group R3m (No. 160, hexagonal axes)
Asymmetric unit:
Fe: 0.0000 0.0000 0.0000 [3 per cell]  4 W 2.39-2.60
Fe: 0.0000 0.0000 0.4606 [3 per cell]  6 Pb 2.63-2.89, 1 W 2.80
Pb: 0.0000 0.0000 0.1593 [3 per cell]  3 Fe 2.63, 3 W 2.86
Pb: 0.0000 0.0000 0.7293 [3 per cell]  6 Fe 2.87-2.89, 4 W 2.93-3.17
W: 0.0000 0.0000 0.3068 [3 per cell]  3 Fe 2.60, 3 W 2.74
W: 0.0000 0.0000 0.5920 [3 per cell]  6 W 2.66-2.74, 1 Fe 2.80, 1 Pb 2.93
W: 0.0000 0.0000 0.8879 [3 per cell]  1 Fe 2.39, 3 W 2.66